A relaxed Dy4InIr crystal. Source: Alexandria, functional PBE.

POSCAR file:
```
Dy4InIr
1.0
5.9922 -0.6313 0.0000
-2.3535 8.6401 0.0000
-1.8193 -4.0044 6.6237
Dy In Ir
8 2 2
Direct
0.0852 0.2062 0.8504
0.7348 0.3558 0.1496
0.9148 0.7938 0.1496
0.3867 0.9400 0.6589
0.2278 0.2811 0.3411
0.7722 0.7189 0.6589
0.6133 0.0600 0.3411
0.2652 0.6442 0.8504
0.3744 0.6244 0.2488
0.6256 0.3756 0.7512
0.7497 0.9997 0.9994
0.2503 0.0003 0.0006
```

Summary:
formation enthalpy at 0 K = -0.518 eV/atom
space group = C2/c (15)
ΔE to the lowest computed polymorph = 0.067 eV/atom